(1)
# GeSbH3, optimized geometry, DFT PBE
data_GeSbH3
_chemical_formula_sum 'Ge1 Sb1 H3'
_symmetry_space_group_name_H-M 'P m -3 m'
_symmetry_Int_Tables_number 221
_symmetry_space_group_name_Hall '-P 4 2 3'
_cell_length_a 4.026
_cell_length_b 4.026
_cell_length_c 4.026
_cell_angle_alpha 90.00
_cell_angle_beta 90.00
_cell_angle_gamma 90.00
loop_
_atom_site_label
_atom_site_type_symbol
_atom_site_fract_x
_atom_site_fract_y
_atom_site_fract_z
Ge1 Ge 0.000 0.000 0.000
Sb1 Sb 0.500 0.500 0.500
H1 H 0.000 0.500 0.500
# - energy relative to the lowest polymorph listed for this composition (meV/atom) = 93


(2)
A relaxed structure of SiGeSb2H. Source: the Alexandria database, functional PBE.

Structure (CIF):
```
data_SiGeSb2H
_chemical_formula_sum 'Si1 Ge1 Sb2 H1'
_symmetry_space_group_name_H-M 'P 4/m m m'
_symmetry_Int_Tables_number 123
_symmetry_space_group_name_Hall '-P 4 2'
_cell_length_a 5.418
_cell_length_b 5.418
_cell_length_c 4.816
_cell_angle_alpha 90.00
_cell_angle_beta 90.00
_cell_angle_gamma 90.00
loop_
_atom_site_label
_atom_site_type_symbol
_atom_site_fract_x
_atom_site_fract_y
_atom_site_fract_z
Si1 Si 0.000 0.000 0.000
Ge1 Ge 0.000 0.000 0.500
Sb1 Sb 0.000 0.500 0.500
H1 H 0.500 0.500 0.000
```


(3)
A relaxed structure of Si2GeSbH. Source: the Alexandria database, functional PBE.

Structure (CIF):
```
data_Si2GeSbH
_chemical_formula_sum 'Si2 Ge1 Sb1 H1'
_symmetry_space_group_name_H-M 'P 4/m m m'
_symmetry_Int_Tables_number 123
_symmetry_space_group_name_Hall '-P 4 2'
_cell_length_a 4.135
_cell_length_b 4.135
_cell_length_c 4.778
_cell_angle_alpha 90.00
_cell_angle_beta 90.00
_cell_angle_gamma 90.00
loop_
_atom_site_label
_atom_site_type_symbol
_atom_site_fract_x
_atom_site_fract_y
_atom_site_fract_z
Si1 Si 0.000 0.500 0.000
Ge1 Ge 0.000 0.000 0.500
Sb1 Sb 0.500 0.500 0.500
H1 H 0.000 0.000 0.000
```


(4)
A relaxed structure of Sn2GeSbH. Source: the Alexandria database, functional PBE.

Structure (CIF):
```
data_Sn2GeSbH
_chemical_formula_sum 'Sn2 Ge1 Sb1 H1'
_symmetry_space_group_name_H-M 'P 4/m m m'
_symmetry_Int_Tables_number 123
_symmetry_space_group_name_Hall '-P 4 2'
_cell_length_a 5.727
_cell_length_b 5.727
_cell_length_c 3.418
_cell_angle_alpha 90.00
_cell_angle_beta 90.00
_cell_angle_gamma 90.00
loop_
_atom_site_label
_atom_site_type_symbol
_atom_site_fract_x
_atom_site_fract_y
_atom_site_fract_z
Sn1 Sn 0.000 0.500 0.000
Ge1 Ge 0.000 0.000 0.000
Sb1 Sb 0.500 0.500 0.500
H1 H 0.000 0.000 0.500
```


(5)
A relaxed structure of Ti7GeSb2H2. Source: the Alexandria database, functional PBE.

Structure (CIF):
```
data_Ti7GeSb2H2
_chemical_formula_sum 'Ti14 Ge2 Sb4 H4'
_symmetry_space_group_name_H-M 'C 1 2/m 1'
_symmetry_Int_Tables_number 12
_cell_length_a 5.623
_cell_length_b 5.622
_cell_length_c 11.765
_cell_angle_alpha 90.00
_cell_angle_beta 103.62
_cell_angle_gamma 90.00
loop_
_symmetry_equiv_pos_as_xyz
'x,y,z'
'-x,-y,-z'
'-x,y,-z'
'x,-y,z'
'x+1/2,y+1/2,z'
'-x+1/2,-y+1/2,-z'
'-x+1/2,y+1/2,-z'
'x+1/2,-y+1/2,z'
loop_
_atom_site_label
_atom_site_type_symbol
_atom_site_fract_x
_atom_site_fract_y
_atom_site_fract_z
Ti1 Ti 0.000 0.000 0.000
Ti2 Ti 0.162 0.250 0.822
Ti3 Ti 0.196 0.000 0.399
Ge1 Ge 0.000 0.500 0.000
Sb1 Sb 0.177 0.500 0.359
H1 H 0.085 0.000 0.172
```


(6)
# ScGeH, optimized geometry, DFT PBE
data_ScGeH
_chemical_formula_sum 'Sc4 Ge4 H4'
_symmetry_space_group_name_H-M 'C m c m'
_symmetry_Int_Tables_number 63
_symmetry_space_group_name_Hall '-C 2c 2'
_cell_length_a 3.472
_cell_length_b 14.064
_cell_length_c 3.658
_cell_angle_alpha 90.00
_cell_angle_beta 90.00
_cell_angle_gamma 90.00
loop_
_atom_site_label
_atom_site_type_symbol
_atom_site_fract_x
_atom_site_fract_y
_atom_site_fract_z
Sc1 Sc 0.000 0.092 0.250
Ge1 Ge 0.000 0.250 0.750
H1 H 0.000 0.449 0.250
# - energy relative to the lowest polymorph listed for this composition (meV/atom) = 386


(7)
A relaxed structure of Sc5Ge2H. Source: the Alexandria database, functional PBE.

Structure (CIF):
```
data_Sc5Ge2H
_chemical_formula_sum 'Sc10 Ge4 H2'
_symmetry_space_group_name_H-M 'I 4 m m'
_symmetry_Int_Tables_number 107
_symmetry_space_group_name_Hall 'I 4 -2'
_cell_length_a 6.244
_cell_length_b 6.244
_cell_length_c 7.949
_cell_angle_alpha 90.00
_cell_angle_beta 90.00
_cell_angle_gamma 90.00
loop_
_atom_site_label
_atom_site_type_symbol
_atom_site_fract_x
_atom_site_fract_y
_atom_site_fract_z
Sc1 Sc 0.000 0.000 0.000
Sc2 Sc 0.248 0.248 0.256
Ge1 Ge 0.000 0.500 0.005
H1 H 0.000 0.000 0.745
```


(8)
A relaxed structure of Sc3GeH3. Source: the Alexandria database, functional PBE.

Structure (CIF):
```
data_Sc3GeH3
_chemical_formula_sum 'Sc18 Ge6 H18'
_symmetry_space_group_name_H-M 'R -3'
_symmetry_Int_Tables_number 148
_symmetry_space_group_name_Hall '-R 3'
_cell_length_a 5.9639
_cell_length_b 5.9639
_cell_length_c 19.2753
_cell_angle_alpha 90.00
_cell_angle_beta 90.00
_cell_angle_gamma 120.00
loop_
_atom_site_label
_atom_site_type_symbol
_atom_site_fract_x
_atom_site_fract_y
_atom_site_fract_z
Sc1 Sc 0.0024 0.3419 0.4009
Ge1 Ge 0.0000 0.0000 0.1664
H1 H 0.0008 0.3369 0.2952
```


(9)
A relaxed structure of ScGe4H2. Source: the Alexandria database, functional PBE.

Structure (CIF):
```
data_ScGe4H2
_chemical_formula_sum 'Sc2 Ge8 H4'
_symmetry_space_group_name_H-M 'I 4/m m m'
_symmetry_Int_Tables_number 139
_symmetry_space_group_name_Hall '-I 4 2'
_cell_length_a 5.237
_cell_length_b 5.237
_cell_length_c 9.684
_cell_angle_alpha 90.00
_cell_angle_beta 90.00
_cell_angle_gamma 90.00
loop_
_atom_site_label
_atom_site_type_symbol
_atom_site_fract_x
_atom_site_fract_y
_atom_site_fract_z
Sc1 Sc 0.000 0.000 0.000
Ge1 Ge 0.000 0.000 0.277
Ge2 Ge 0.000 0.500 0.000
H1 H 0.000 0.000 0.442
```


(10)
# ScGeH, optimized geometry, DFT PBE
data_ScGeH
_chemical_formula_sum 'Sc2 Ge2 H2'
_symmetry_space_group_name_H-M 'P 4/n m m'
_symmetry_Int_Tables_number 129
_cell_length_a 3.438
_cell_length_b 3.438
_cell_length_c 6.981
_cell_angle_alpha 90.00
_cell_angle_beta 90.00
_cell_angle_gamma 90.00
loop_
_symmetry_equiv_pos_as_xyz
'x,y,z'
'-x,-y,-z'
'-y+1/2,x,z'
'y+1/2,-x,-z'
'-x+1/2,-y+1/2,z'
'x+1/2,y+1/2,-z'
'y,-x+1/2,z'
'-y,x+1/2,-z'
'x+1/2,-y,-z'
'-x+1/2,y,z'
'-y,-x,-z'
'y,x,z'
'-x,y+1/2,-z'
'x,-y+1/2,z'
'y+1/2,x+1/2,-z'
'-y+1/2,-x+1/2,z'
loop_
_atom_site_label
_atom_site_type_symbol
_atom_site_fract_x
_atom_site_fract_y
_atom_site_fract_z
Sc1 Sc 0.250 0.250 0.171
Ge1 Ge 0.250 0.250 0.599
H1 H 0.250 0.750 0.000
# - energy relative to the lowest polymorph listed for this composition (meV/atom) = 0


(11)
# ScGeH, optimized geometry, DFT PBE
data_ScGeH
_chemical_formula_sum 'Sc4 Ge4 H4'
_symmetry_space_group_name_H-M 'P n m a'
_symmetry_Int_Tables_number 62
_cell_length_a 4.003
_cell_length_b 6.851
_cell_length_c 7.067
_cell_angle_alpha 90.00
_cell_angle_beta 90.00
_cell_angle_gamma 90.00
loop_
_symmetry_equiv_pos_as_xyz
'x,y,z'
'-x,-y,-z'
'-x+1/2,-y,z+1/2'
'x+1/2,y,-z+1/2'
'x+1/2,-y+1/2,-z+1/2'
'-x+1/2,y+1/2,z+1/2'
'-x,y+1/2,-z'
'x,-y+1/2,z'
loop_
_atom_site_label
_atom_site_type_symbol
_atom_site_fract_x
_atom_site_fract_y
_atom_site_fract_z
Sc1 Sc 0.000 0.000 0.000
Ge1 Ge 0.000 0.250 0.362
H1 H 0.006 0.250 0.861
# - energy relative to the lowest polymorph listed for this composition (meV/atom) = 153


(12)
# ScGeH3, optimized geometry, DFT PBE
data_ScGeH3
_chemical_formula_sum 'Sc1 Ge1 H3'
_symmetry_space_group_name_H-M 'P m -3 m'
_symmetry_Int_Tables_number 221
_symmetry_space_group_name_Hall '-P 4 2 3'
_cell_length_a 3.791
_cell_length_b 3.791
_cell_length_c 3.791
_cell_angle_alpha 90.00
_cell_angle_beta 90.00
_cell_angle_gamma 90.00
loop_
_atom_site_label
_atom_site_type_symbol
_atom_site_fract_x
_atom_site_fract_y
_atom_site_fract_z
Sc1 Sc 0.000 0.000 0.000
Ge1 Ge 0.500 0.500 0.500
H1 H 0.000 0.000 0.500
# - energy relative to the lowest polymorph listed for this composition (meV/atom) = 0


Asked for calculated total energy across the records above, the calculation gives -2.967; -3.095; -3.960; -3.837; -6.756; -4.898; -5.944; -5.391; -4.005; -5.284; -5.131; -4.138 eV/atom in order.